No. 1
First-principles (PBE-GGA) data for Tc2RuAu after structural relaxation, as listed in Alexandria.

Computed properties:
Its uncorrected energy is -32.41 eV/f.u. For the calculated formation energy, the calculation gives 0.218 eV per atom. Its relative energy among the computed polymorphs is 12 kJ/mol of formula units.

Cell: 2.735 2.735 8.113 Å, 90.00 90.00 90.00°
Fractional positions:
1 Tc 0.000 0.000 0.232
2 Tc 0.000 0.000 0.768
3 Ru 0.500 0.500 0.000
4 Au 0.500 0.500 0.500



No. 2
First-principles (PBE-GGA) data for TcRuAu2 after structural relaxation, as listed in Alexandria.

Computed properties:
Its uncorrected energy is -24.43 eV/f.u. For the calculated formation energy, the calculation gives 0.441 eV per atom. Its relative energy among the computed polymorphs is 123 kJ/mol of formula units.

Cell: 4.952 4.952 4.849 Å, 99.31 99.31 33.06°
Fractional positions:
1 Tc 0.000 0.000 0.000
2 Ru 0.500 0.500 0.500
3 Au 0.251 0.251 0.751
4 Au 0.749 0.749 0.249